Record 1
Computed, not measured: an optimized crystal structure of Ba2SrCd at the GGA-PBEsol level of DFT. Values from VASP.

## Properties
* E_form: -0.117 eV/atom

Quantum ESPRESSO input file:
```
&SYSTEM
  ibrav = 0, nat = 4, ntyp = 3
/
ATOMIC_SPECIES
Ba 137.33 Ba.upf
Sr 87.62 Sr.upf
Cd 112.41 Cd.upf
ATOMIC_POSITIONS angstrom
Ba 0.000 0.000 0.000
Ba 0.000 3.160 2.652
Sr 0.000 0.000 5.350
Cd 2.123 0.000 2.738
CELL_PARAMETERS angstrom
-2.123 3.160 6.698
2.123 -3.160 6.698
2.123 3.160 -6.698
```

***

Record 2
Computed, not measured: an optimized crystal structure of La2BeCu at the GGA-PBEsol level of DFT. Values from VASP.

## Properties
* E_form: 0.097 eV/atom

Quantum ESPRESSO input file:
```
&SYSTEM
  ibrav = 0, nat = 4, ntyp = 3
/
ATOMIC_SPECIES
La 138.91 La.upf
Be 9.01 Be.upf
Cu 63.55 Cu.upf
ATOMIC_POSITIONS angstrom
La 0.000 2.530 0.000
La 2.530 0.000 0.000
Be 0.000 0.000 1.777
Cu 2.530 2.530 1.777
CELL_PARAMETERS angstrom
5.060 0.000 0.000
0.000 5.060 0.000
0.000 0.000 3.554
```

***

Record 3
Computed, not measured: an optimized crystal structure of LiCu2C2O6 at the GGA-PBEsol level of DFT. Values from VASP.

## Properties
* formation energy without anion corrections: -1.202 eV per atom

Quantum ESPRESSO input file:
```
&SYSTEM
  ibrav = 0, nat = 22, ntyp = 4
/
ATOMIC_SPECIES
Li 6.94 Li.upf
Cu 63.55 Cu.upf
C 12.01 C.upf
O 16.00 O.upf
ATOMIC_POSITIONS angstrom
Li 0.465 1.442 2.595
Li 5.848 5.004 5.181
Cu 1.161 0.362 0.155
Cu 2.035 3.509 3.751
Cu 4.277 2.937 4.024
Cu 5.151 6.084 7.620
C 0.588 1.339 5.603
C 3.209 4.603 6.011
C 3.103 1.843 1.764
C 5.724 5.107 2.172
O 0.497 1.983 4.482
O 1.074 5.981 1.905
O 1.571 1.552 6.381
O 2.107 4.529 5.329
O 2.044 2.481 2.186
O 3.284 5.303 7.066
O 3.028 1.143 0.709
O 4.268 3.965 5.590
O 4.205 1.917 2.446
O 4.741 4.894 1.394
O 5.238 0.465 5.870
O 5.815 4.463 3.293
CELL_PARAMETERS angstrom
5.586 0.000 0.000
0.149 6.294 0.000
0.576 0.152 7.775
```

***

Record 4
Computed, not measured: an optimized crystal structure of CsScH3 at the GGA-PBEsol level of DFT. Values from VASP.

## Properties
* VASP energy: -2.303 eV per atom

Quantum ESPRESSO input file:
```
&SYSTEM
  ibrav = 0, nat = 5, ntyp = 3
/
ATOMIC_SPECIES
Cs 132.91 Cs.upf
Sc 44.96 Sc.upf
H 1.01 H.upf
ATOMIC_POSITIONS angstrom
Cs 0.000 0.000 0.000
Sc 2.423 2.423 2.423
H 0.000 0.000 2.423
H 0.000 2.423 0.000
H 2.423 0.000 0.000
CELL_PARAMETERS angstrom
4.846 0.000 0.000
0.000 4.846 0.000
0.000 0.000 4.846
```

***

Record 5
Computed, not measured: an optimized crystal structure of Ta2NiAu at the GGA-PBEsol level of DFT. Values from VASP.

## Properties
* E_form: -0.118 eV/atom

Quantum ESPRESSO input file:
```
&SYSTEM
  ibrav = 0, nat = 4, ntyp = 3
/
ATOMIC_SPECIES
Ta 180.95 Ta.upf
Ni 58.69 Ni.upf
Au 196.97 Au.upf
ATOMIC_POSITIONS angstrom
Ta 1.954 0.000 2.017
Ta 0.000 1.954 2.017
Ni 0.000 0.000 0.000
Au 0.000 0.000 4.034
CELL_PARAMETERS angstrom
-1.954 1.954 4.034
1.954 -1.954 4.034
1.954 1.954 -4.034
```

***

Record 6
Computed, not measured: an optimized crystal structure of Eu2MgTl at the GGA-PBEsol level of DFT. Values from VASP.

## Properties
* E_form: -0.300 eV/atom

Quantum ESPRESSO input file:
```
&SYSTEM
  ibrav = 0, nat = 4, ntyp = 3
/
ATOMIC_SPECIES
Eu 151.96 Eu.upf
Mg 24.30 Mg.upf
Tl 204.38 Tl.upf
ATOMIC_POSITIONS angstrom
Eu 1.950 1.950 1.950
Eu 5.851 5.851 5.851
Mg 0.000 0.000 0.000
Tl 3.901 3.901 3.901
CELL_PARAMETERS angstrom
0.000 3.901 3.901
3.901 0.000 3.901
3.901 3.901 0.000
```

***

Record 7
Computed, not measured: an optimized crystal structure of ZnNi2 at the GGA-PBEsol level of DFT. Values from VASP.

## Properties
* E_form: -0.103 eV/atom

Quantum ESPRESSO input file:
```
&SYSTEM
  ibrav = 0, nat = 6, ntyp = 2
/
ATOMIC_SPECIES
Zn 65.41 Zn.upf
Ni 58.69 Ni.upf
ATOMIC_POSITIONS angstrom
Zn 0.000 2.320 1.200
Zn 2.010 1.160 3.601
Ni 0.000 0.000 0.000
Ni 0.000 0.000 2.401
Ni 0.000 2.320 3.601
Ni 2.010 1.160 1.200
CELL_PARAMETERS angstrom
4.019 0.000 0.000
-2.010 3.481 0.000
0.000 0.000 4.802
```

***

Record 8
Computed, not measured: an optimized crystal structure of ZnIn3Pb at the GGA-PBEsol level of DFT. Values from VASP.

## Properties
* E_form: 0.254 eV/atom

Quantum ESPRESSO input file:
```
&SYSTEM
  ibrav = 0, nat = 5, ntyp = 3
/
ATOMIC_SPECIES
Zn 65.41 Zn.upf
In 114.82 In.upf
Pb 207.20 Pb.upf
ATOMIC_POSITIONS angstrom
Zn 0.000 0.000 0.000
In 0.000 0.000 2.573
In 0.000 2.573 0.000
In 2.573 0.000 0.000
Pb 2.573 2.573 2.573
CELL_PARAMETERS angstrom
5.145 0.000 0.000
0.000 5.145 0.000
0.000 0.000 5.145
```

***

Record 9
Computed, not measured: an optimized crystal structure of Tl2SiF6 at the GGA-PBEsol level of DFT. Values from VASP.

## Properties
* formation energy without anion corrections: -2.651 eV per atom

Quantum ESPRESSO input file:
```
&SYSTEM
  ibrav = 0, nat = 9, ntyp = 3
/
ATOMIC_SPECIES
Tl 204.38 Tl.upf
Si 28.09 Si.upf
F 19.00 F.upf
ATOMIC_POSITIONS angstrom
Tl 2.096 2.096 2.096
Tl 6.287 6.287 6.287
Si 0.000 0.000 0.000
F 4.192 4.192 1.712
F 4.192 1.712 4.192
F 6.671 4.192 4.192
F 1.712 4.192 4.192
F 4.192 6.671 4.192
F 4.192 4.192 6.671
CELL_PARAMETERS angstrom
0.000 4.192 4.192
4.192 0.000 4.192
4.192 4.192 0.000
```

***

Record 10
Computed, not measured: an optimized crystal structure of IrRh3 at the GGA-PBEsol level of DFT. Values from VASP.

## Properties
* E_form: -0.014 eV/atom

Quantum ESPRESSO input file:
```
&SYSTEM
  ibrav = 0, nat = 4, ntyp = 2
/
ATOMIC_SPECIES
Ir 192.22 Ir.upf
Rh 102.91 Rh.upf
ATOMIC_POSITIONS angstrom
Ir 0.000 0.000 0.000
Rh 1.339 1.895 1.341
Rh 1.339 -1.895 1.341
Rh 2.677 0.000 0.000
CELL_PARAMETERS angstrom
2.677 -3.789 0.000
2.677 3.789 0.000
0.000 0.000 2.682
```

***

Record 11
Computed, not measured: an optimized crystal structure of BaLi2Sc at the GGA-PBEsol level of DFT. Values from VASP.

## Properties
* E_form: 0.295 eV/atom

Quantum ESPRESSO input file:
```
&SYSTEM
  ibrav = 0, nat = 4, ntyp = 3
/
ATOMIC_SPECIES
Ba 137.33 Ba.upf
Li 6.94 Li.upf
Sc 44.96 Sc.upf
ATOMIC_POSITIONS angstrom
Ba 0.000 0.000 0.000
Li 2.023 0.000 4.345
Li 7.972 0.000 1.938
Sc 4.998 0.000 3.141
CELL_PARAMETERS angstrom
5.426 -1.710 0.000
5.426 1.710 0.000
-0.857 0.000 6.282
```

***

Record 12
Computed, not measured: an optimized crystal structure of ZrAlSi2 at the GGA-PBEsol level of DFT. Values from VASP.

## Properties
* formation energy without anion corrections: 0.217 eV per atom

Quantum ESPRESSO input file:
```
&SYSTEM
  ibrav = 0, nat = 8, ntyp = 3
/
ATOMIC_SPECIES
Zr 91.22 Zr.upf
Al 26.98 Al.upf
Si 28.09 Si.upf
ATOMIC_POSITIONS angstrom
Zr 0.000 0.000 1.810
Zr 0.000 0.000 5.430
Al 0.000 2.712 1.810
Al 2.349 1.356 5.430
Si 0.000 2.712 4.237
Si 0.000 2.712 6.622
Si 2.349 1.356 0.617
Si 2.349 1.356 3.003
CELL_PARAMETERS angstrom
4.698 0.000 0.000
-2.349 4.068 0.000
0.000 0.000 7.239
```